VASP calculation (PBE) on a geometry-optimized DySc2Br structure.

The structure in POSCAR format:
```
DySc2Br
1.0
-3.3888 0.7990 -0.1148
-1.9463 -1.0474 -2.6927
-3.8557 -8.2228 3.7319
Sc Br Dy
2 1 1
Direct
0.7418 0.7418 0.7747
0.2582 0.2582 0.2253
0.0000 0.0000 0.0000
0.5000 0.5000 0.5000
```

ΔE_f (raw): -0.433 eV/atom
SG: R-3m, No. 166